1.
The following is a DFT calculation (PBE) of a geometry-optimized Pr2InH structure.

Cell and atoms, written as CIF:
```
data_Pr2InH
_space_group_name_H-M_alt 'P 1'
_space_group_IT_number 1
_cell_length_a 3.763
_cell_length_b 3.763
_cell_length_c 24.168
_cell_angle_alpha 90.00
_cell_angle_beta 90.00
_cell_angle_gamma 120.00
loop_
_space_group_symop_operation_xyz
'x,y,z'
loop_
_atom_site_label
_atom_site_type_symbol
_atom_site_fract_x
_atom_site_fract_y
_atom_site_fract_z
Pr1 Pr 0.000 0.000 0.227
Pr2 Pr 0.000 0.000 0.773
Pr3 Pr 0.333 0.667 0.439
Pr4 Pr 0.333 0.667 0.894
Pr5 Pr 0.667 0.333 0.106
Pr6 Pr 0.667 0.333 0.561
In1 In 0.000 0.000 0.000
In2 In 0.333 0.667 0.667
In3 In 0.667 0.333 0.333
H1 H 0.000 0.000 0.500
H2 H 0.333 0.667 0.167
H3 H 0.667 0.333 0.833
```

Values from the calculation:
Uncorrected energy = -4.236 eV per atom
SG = R-3m
Distance to the lowest polymorph of the same formula = 65 meV per atom
Total magnetization = 0.000 μB/f.u.


2.
The following is a DFT calculation (PBE) of a geometry-optimized BeAs2W structure.

Cell and atoms, written as CIF:
```
data_BeAs2W
_space_group_name_H-M_alt 'P 1'
_space_group_IT_number 1
_cell_length_a 3.293
_cell_length_b 4.939
_cell_length_c 7.581
_cell_angle_alpha 90.00
_cell_angle_beta 90.00
_cell_angle_gamma 90.00
loop_
_space_group_symop_operation_xyz
'x,y,z'
loop_
_atom_site_label
_atom_site_type_symbol
_atom_site_fract_x
_atom_site_fract_y
_atom_site_fract_z
Be1 Be 0.000 0.000 0.000
Be2 Be 0.500 0.500 0.000
As1 As 0.000 0.500 0.230
As2 As 0.000 0.500 0.770
As3 As 0.500 0.000 0.230
As4 As 0.500 0.000 0.770
W1 W 0.000 0.000 0.500
W2 W 0.500 0.500 0.500
```

Values from the calculation:
Uncorrected energy = -5.951 eV per atom
SG = Cmmm
Total magnetization = 0.000 μB/f.u.
ΔE_f = 0.5432 eV per atom


3.
The following is a DFT calculation (PBE) of a geometry-optimized Na2SbI6 structure.

Cell and atoms, written as CIF:
```
data_Na2SbI6
_space_group_name_H-M_alt 'P 1'
_space_group_IT_number 1
_cell_length_a 7.459
_cell_length_b 7.459
_cell_length_c 13.926
_cell_angle_alpha 90.00
_cell_angle_beta 90.00
_cell_angle_gamma 90.00
loop_
_space_group_symop_operation_xyz
'x,y,z'
loop_
_atom_site_label
_atom_site_type_symbol
_atom_site_fract_x
_atom_site_fract_y
_atom_site_fract_z
Na1 Na 0.000 0.000 0.166
Na2 Na 0.000 0.000 0.834
Na3 Na 0.500 0.500 0.334
Na4 Na 0.500 0.500 0.666
Sb1 Sb 0.000 0.000 0.500
Sb2 Sb 0.500 0.500 0.000
I1 I 0.192 0.192 0.343
I2 I 0.192 0.192 0.657
I3 I 0.216 0.216 0.000
I4 I 0.284 0.716 0.500
I5 I 0.308 0.692 0.157
I6 I 0.308 0.692 0.843
I7 I 0.692 0.308 0.157
I8 I 0.692 0.308 0.843
I9 I 0.716 0.284 0.500
I10 I 0.784 0.784 0.000
I11 I 0.808 0.808 0.343
I12 I 0.808 0.808 0.657
```

Values from the calculation:
Uncorrected energy = -2.386 eV per atom
SG = P4_2/mnm
Total magnetization = 0.000 μB/f.u.
Energy relative to the elements, uncorrected = -601 meV/atom


4.
The following is a DFT calculation (PBE) of a geometry-optimized BC2 structure.

Cell and atoms, written as CIF:
```
data_BC2
_space_group_name_H-M_alt 'P 1'
_space_group_IT_number 1
_cell_length_a 2.479
_cell_length_b 2.572
_cell_length_c 12.012
_cell_angle_alpha 90.00
_cell_angle_beta 90.00
_cell_angle_gamma 90.00
loop_
_space_group_symop_operation_xyz
'x,y,z'
loop_
_atom_site_label
_atom_site_type_symbol
_atom_site_fract_x
_atom_site_fract_y
_atom_site_fract_z
B1 B 0.000 0.000 0.000
B2 B 0.000 0.000 0.323
B3 B 0.000 0.500 0.713
B4 B 0.500 0.500 0.831
C1 C 0.000 0.000 0.631
C2 C 0.000 0.500 0.085
C3 C 0.000 0.500 0.408
C4 C 0.500 0.000 0.233
C5 C 0.500 0.000 0.559
C6 C 0.500 0.000 0.908
C7 C 0.500 0.500 0.160
C8 C 0.500 0.500 0.480
```

Values from the calculation:
Uncorrected energy = -8.057 eV per atom
SG = Pmm2
Distance to the lowest polymorph of the same formula = 78 meV per atom
Total magnetization = 0.000 μB/f.u.
ΔE_f = 0.3178 eV per atom


5.
The following is a DFT calculation (PBE) of a geometry-optimized DyHo6Ag structure.

Cell and atoms, written as CIF:
```
data_DyHo6Ag
_space_group_name_H-M_alt 'P 1'
_space_group_IT_number 1
_cell_length_a 6.237
_cell_length_b 6.237
_cell_length_c 6.237
_cell_angle_alpha 95.53
_cell_angle_beta 95.53
_cell_angle_gamma 95.53
loop_
_space_group_symop_operation_xyz
'x,y,z'
loop_
_atom_site_label
_atom_site_type_symbol
_atom_site_fract_x
_atom_site_fract_y
_atom_site_fract_z
Dy1 Dy 0.000 0.000 0.000
Ho1 Ho 0.069 0.545 0.262
Ho2 Ho 0.262 0.069 0.545
Ho3 Ho 0.455 0.738 0.931
Ho4 Ho 0.545 0.262 0.069
Ho5 Ho 0.738 0.931 0.455
Ho6 Ho 0.931 0.455 0.738
Ag1 Ag 0.500 0.500 0.500
```

Values from the calculation:
Uncorrected energy = -4.320 eV per atom
SG = R-3
Total magnetization = 0.000 μB/f.u.
ΔE_f = 0.0450 eV per atom


6.
The following is a DFT calculation (PBE) of a geometry-optimized Zn8Ga3Ag2 structure.

Cell and atoms, written as CIF:
```
data_Zn8Ga3Ag2
_space_group_name_H-M_alt 'P 1'
_space_group_IT_number 1
_cell_length_a 11.058
_cell_length_b 11.058
_cell_length_c 11.058
_cell_angle_alpha 25.87
_cell_angle_beta 25.87
_cell_angle_gamma 25.87
loop_
_space_group_symop_operation_xyz
'x,y,z'
loop_
_atom_site_label
_atom_site_type_symbol
_atom_site_fract_x
_atom_site_fract_y
_atom_site_fract_z
Zn1 Zn 0.227 0.227 0.227
Zn2 Zn 0.232 0.232 0.732
Zn3 Zn 0.232 0.732 0.232
Zn4 Zn 0.268 0.768 0.768
Zn5 Zn 0.732 0.232 0.232
Zn6 Zn 0.768 0.268 0.768
Zn7 Zn 0.768 0.768 0.268
Zn8 Zn 0.773 0.773 0.773
Ga1 Ga 0.318 0.318 0.318
Ga2 Ga 0.500 0.500 0.500
Ga3 Ga 0.682 0.682 0.682
Ag1 Ag 0.144 0.144 0.144
Ag2 Ag 0.856 0.856 0.856
```

Values from the calculation:
Uncorrected energy = -1.834 eV per atom
SG = R-3m
Total magnetization = 0.000 μB/f.u.
ΔE_f = 0.0874 eV per atom


7.
The following is a DFT calculation (PBE) of a geometry-optimized PmGa4Ni4 structure.

Cell and atoms, written as CIF:
```
data_PmGa4Ni4
_space_group_name_H-M_alt 'P 1'
_space_group_IT_number 1
_cell_length_a 5.691
_cell_length_b 5.691
_cell_length_c 8.486
_cell_angle_alpha 90.00
_cell_angle_beta 90.00
_cell_angle_gamma 90.00
loop_
_space_group_symop_operation_xyz
'x,y,z'
loop_
_atom_site_label
_atom_site_type_symbol
_atom_site_fract_x
_atom_site_fract_y
_atom_site_fract_z
Pm1 Pm 0.250 0.750 0.250
Pm2 Pm 0.750 0.250 0.750
Ga1 Ga 0.032 0.250 0.059
Ga2 Ga 0.250 0.032 0.559
Ga3 Ga 0.250 0.468 0.559
Ga4 Ga 0.468 0.250 0.059
Ga5 Ga 0.532 0.750 0.941
Ga6 Ga 0.750 0.532 0.441
Ga7 Ga 0.750 0.968 0.441
Ga8 Ga 0.968 0.750 0.941
Ni1 Ni 0.029 0.250 0.345
Ni2 Ni 0.250 0.029 0.845
Ni3 Ni 0.250 0.471 0.845
Ni4 Ni 0.471 0.250 0.345
Ni5 Ni 0.529 0.750 0.655
Ni6 Ni 0.750 0.529 0.155
Ni7 Ni 0.750 0.971 0.155
Ni8 Ni 0.971 0.750 0.655
```

Values from the calculation:
Uncorrected energy = -4.884 eV per atom
SG = P4_2/nmc
Total magnetization = 0.000 μB/f.u.
ΔE_f = -0.4412 eV per atom


8.
The following is a DFT calculation (PBE) of a geometry-optimized Be7Co6 structure.

Cell and atoms, written as CIF:
```
data_Be7Co6
_space_group_name_H-M_alt 'P 1'
_space_group_IT_number 1
_cell_length_a 7.996
_cell_length_b 7.996
_cell_length_c 7.996
_cell_angle_alpha 30.29
_cell_angle_beta 30.29
_cell_angle_gamma 30.29
loop_
_space_group_symop_operation_xyz
'x,y,z'
loop_
_atom_site_label
_atom_site_type_symbol
_atom_site_fract_x
_atom_site_fract_y
_atom_site_fract_z
Be1 Be 0.000 0.000 0.000
Be2 Be 0.092 0.092 0.588
Be3 Be 0.092 0.588 0.092
Be4 Be 0.412 0.908 0.908
Be5 Be 0.588 0.092 0.092
Be6 Be 0.908 0.412 0.908
Be7 Be 0.908 0.908 0.412
Co1 Co 0.167 0.167 0.167
Co2 Co 0.349 0.349 0.349
Co3 Co 0.453 0.453 0.453
Co4 Co 0.547 0.547 0.547
Co5 Co 0.651 0.651 0.651
Co6 Co 0.833 0.833 0.833
```

Values from the calculation:
Uncorrected energy = -5.481 eV per atom
SG = R-3m
Total magnetization = 6.879 μB/f.u.
ΔE_f = -0.1947 eV per atom